Model one:
A relaxed structure of UGaBi, computed with GGA-PBE.

a = 5.259 Å, b = 5.259 Å, c = 3.134 Å
α = 90.00°, β = 90.00°, γ = 120.00°
Atoms (fractional coordinates):
U1 0.000 0.000 0.000
Ga1 0.333 0.667 0.497
Bi1 0.667 0.333 0.502

- Total moment: 3.104 μB/f.u.
- Density: 11.43 g/cm3



Model two:
A relaxed structure of UGaBi, computed with GGA-PBE.

a = 3.231 Å, b = 3.231 Å, c = 16.313 Å
α = 90.00°, β = 90.00°, γ = 120.00°
Atoms (fractional coordinates):
U1 0.333 0.667 0.000
U2 0.667 0.333 0.500
Ga1 0.333 0.667 0.350
Ga2 0.667 0.333 0.850
Bi1 0.000 0.000 0.177
Bi2 0.000 0.000 0.677

- Total moment: 2.187 μB/f.u.
- Density: 11.63 g/cm3



Stability ranking, top entry: model one; the second entry is 33 meV/atom less favorable.



Model one:
A relaxed structure of V3GaBi, computed with GGA-PBE.

a = 5.211 Å, b = 5.211 Å, c = 5.211 Å
α = 90.00°, β = 90.00°, γ = 90.00°
Atoms (fractional coordinates):
V1 0.000 0.000 0.500
V2 0.000 0.500 0.000
V3 0.500 0.000 0.000
Ga1 0.500 0.500 0.500
Bi1 0.000 0.000 0.000

- Total moment: 9.627 μB/f.u.
- Density: 5.06 g/cm3



Model two:
A relaxed structure of V3GaBi, computed with GGA-PBE.

a = 4.718 Å, b = 4.718 Å, c = 4.718 Å
α = 90.00°, β = 90.00°, γ = 90.00°
Atoms (fractional coordinates):
V1 0.000 0.000 0.500
V2 0.000 0.500 0.000
V3 0.500 0.000 0.000
Ga1 0.000 0.000 0.000
Bi1 0.500 0.500 0.500

- Total moment: 6.905 μB/f.u.
- Density: 6.82 g/cm3



Stability ranking, top entry: model two; the second entry is 740 meV/atom less favorable.